The following is a PBE calculation of a relaxed Hf6In2N crystal, from Alexandria.

Cell lengths 6.3098, 6.3098, 6.3098 Å; angles 60.00, 60.00, 60.00 degrees
Fractional positions:
Hf (0.2453, 0.2453, 0.7547)
Hf (0.2453, 0.7547, 0.2453)
Hf (0.2453, 0.7547, 0.7547)
Hf (0.7547, 0.2453, 0.2453)
Hf (0.7547, 0.2453, 0.7547)
Hf (0.7547, 0.7547, 0.2453)
In (0.2500, 0.2500, 0.2500)
In (0.7500, 0.7500, 0.7500)
N (0.5000, 0.5000, 0.5000)

Calculated values
Formation energy from raw total energies: -480 meV/atom
Space-group type: Fm-3m (225)
DFT total energy: -77.85 eV/f.u.
Total magnetization: 0.00 μB/atom
Polymorph energy (0 for the lowest one): 19.4 meV/atom

The following is a PBE calculation of a relaxed Hf6In3N crystal, from Alexandria.

Cell lengths 6.0046, 6.0046, 7.2334 Å; angles 105.47, 105.47, 60.69 degrees
Fractional positions:
Hf (0.1403, 0.6477, 0.6245)
Hf (0.1725, 0.1725, 0.7885)
Hf (0.3523, 0.8597, 0.3755)
Hf (0.6477, 0.1403, 0.6245)
Hf (0.8275, 0.8275, 0.2115)
Hf (0.8597, 0.3523, 0.3755)
In (0.3155, 0.3155, 0.2392)
In (0.5000, 0.5000, 0.0000)
In (0.6845, 0.6845, 0.7608)
N (0.0000, 0.0000, 0.5000)

Calculated values
Formation energy from raw total energies: -261 meV/atom
Space-group type: C2/m (12)
DFT total energy: -78.87 eV/f.u.
Total magnetization: 0.00 μB/atom